SbRh2N: relaxed, GGA-PBE.

Values from the calculation:
Its energy relative to the elements, uncorrected is 70.98 kJ per mole of atoms. Its crystal system is cubic. For the energy above the most stable polymorph in this dataset, the calculation gives 630 meV per atom.

Structure (POSCAR):
```
SbRh2N
1.0
3.307 -0.444 2.772
2.930 3.173 0.407
0.128 2.382 3.623
Sb Rh N
1 2 1
direct
0.500 0.500 0.500
0.250 0.250 0.250
0.750 0.750 0.750
0.000 0.000 0.000
```



SbRhSeN2: relaxed, GGA-PBE.

Values from the calculation:
Its energy relative to the elements, uncorrected is 144.16 kJ per mole of atoms. Its crystal system is tetragonal. For the energy above the most stable polymorph in this dataset, the calculation gives 441 meV per atom.

Structure (POSCAR):
```
SbRhSeN2
1.0
3.937 0.000 0.000
0.000 3.937 0.000
0.000 0.000 5.791
Sb Rh Se N
1 1 1 2
direct
0.000 0.000 0.000
0.500 0.500 0.500
0.000 0.000 0.500
0.000 0.500 0.000
0.500 0.000 0.000
```



SbRhSe2N: relaxed, GGA-PBE.

Values from the calculation:
Its energy relative to the elements, uncorrected is 30.79 kJ per mole of atoms. Its crystal system is tetragonal. For the energy above the most stable polymorph in this dataset, the calculation gives 0 meV per atom.

Structure (POSCAR):
```
SbRhSe2N
1.0
5.167 0.000 0.000
0.000 5.167 0.000
0.000 0.000 3.688
Sb Rh Se N
1 1 2 1
direct
0.500 0.500 0.500
0.000 0.000 0.000
0.000 0.500 0.000
0.500 0.000 0.000
0.000 0.000 0.500
```



SbRhSeN2: relaxed, GGA-PBE.

Values from the calculation:
Its energy relative to the elements, uncorrected is 101.63 kJ per mole of atoms. Its crystal system is tetragonal. For the energy above the most stable polymorph in this dataset, the calculation gives 0 meV per atom.

Structure (POSCAR):
```
SbRhSeN2
1.0
3.964 0.000 0.000
0.000 3.964 0.000
0.000 0.000 5.191
Sb Rh Se N
1 1 1 2
direct
0.500 0.500 0.500
0.000 0.000 0.000
0.000 0.000 0.500
0.000 0.500 0.000
0.500 0.000 0.000
```



SbRhSe2N: relaxed, GGA-PBE.

Values from the calculation:
Its energy relative to the elements, uncorrected is 117.74 kJ per mole of atoms. Its crystal system is tetragonal. For the energy above the most stable polymorph in this dataset, the calculation gives 901 meV per atom.

Structure (POSCAR):
```
SbRhSe2N
1.0
5.314 0.000 0.000
0.000 5.314 0.000
0.000 0.000 3.806
Sb Rh Se N
1 1 2 1
direct
0.000 0.000 0.000
0.500 0.500 0.500
0.000 0.500 0.000
0.500 0.000 0.000
0.000 0.000 0.500
```



SbTe2RhN: relaxed, GGA-PBE.

Values from the calculation:
Its energy relative to the elements, uncorrected is 142.42 kJ per mole of atoms. Its crystal system is tetragonal. For the energy above the most stable polymorph in this dataset, the calculation gives 1140 meV per atom.

Structure (POSCAR):
```
SbTe2RhN
1.0
5.180 0.000 0.000
0.000 5.180 0.000
0.000 0.000 5.053
Sb Te Rh N
1 2 1 1
direct
0.000 0.000 0.500
0.000 0.500 0.000
0.500 0.000 0.000
0.000 0.000 0.000
0.500 0.500 0.500
```



SbTe2RhN: relaxed, GGA-PBE.

Values from the calculation:
Its energy relative to the elements, uncorrected is 32.41 kJ per mole of atoms. Its crystal system is tetragonal. For the energy above the most stable polymorph in this dataset, the calculation gives 0 meV per atom.

Structure (POSCAR):
```
SbTe2RhN
1.0
-1.314 5.024 1.871
-3.917 0.416 -3.867
-2.467 -1.515 2.335
Sb Te Rh N
1 2 1 1
direct
0.500 0.500 0.500
0.000 0.500 0.000
0.500 0.000 0.000
0.000 0.000 0.000
0.000 0.000 0.500
```



SbTe2RhN: relaxed, GGA-PBE.

Values from the calculation:
Its energy relative to the elements, uncorrected is 75.64 kJ per mole of atoms. Its crystal system is tetragonal. For the energy above the most stable polymorph in this dataset, the calculation gives 448 meV per atom.

Structure (POSCAR):
```
SbTe2RhN
1.0
-3.480 -0.704 3.013
-2.036 -2.894 -3.028
2.344 -3.601 1.866
Sb Te Rh N
1 2 1 1
direct
0.000 0.000 0.500
0.000 0.500 0.000
0.500 0.000 0.000
0.500 0.500 0.500
0.000 0.000 0.000
```



SbTeRhN2: relaxed, GGA-PBE.

Values from the calculation:
Its energy relative to the elements, uncorrected is 138.92 kJ per mole of atoms. Its crystal system is tetragonal. For the energy above the most stable polymorph in this dataset, the calculation gives 238 meV per atom.

Structure (POSCAR):
```
SbTeRhN2
1.0
-0.996 2.098 -3.210
2.610 -2.059 -2.156
-4.586 -4.335 -1.411
Sb Te Rh N
1 1 1 2
direct
0.000 0.000 0.000
0.000 0.000 0.500
0.500 0.500 0.500
0.000 0.500 0.000
0.500 0.000 0.000
```



SbTeRhN2: relaxed, GGA-PBE.

Values from the calculation:
Its energy relative to the elements, uncorrected is 115.92 kJ per mole of atoms. Its crystal system is tetragonal. For the energy above the most stable polymorph in this dataset, the calculation gives 0 meV per atom.

Structure (POSCAR):
```
SbTeRhN2
1.0
4.032 0.000 0.000
0.000 4.032 0.000
0.000 0.000 5.478
Sb Te Rh N
1 1 1 2
direct
0.500 0.500 0.500
0.000 0.000 0.500
0.000 0.000 0.000
0.000 0.500 0.000
0.500 0.000 0.000
```



SbTe2RhN: relaxed, GGA-PBE.

Values from the calculation:
Its energy relative to the elements, uncorrected is 116.18 kJ per mole of atoms. Its crystal system is tetragonal. For the energy above the most stable polymorph in this dataset, the calculation gives 868 meV per atom.

Structure (POSCAR):
```
SbTe2RhN
1.0
5.722 0.000 0.000
0.000 5.722 0.000
0.000 0.000 3.802
Sb Te Rh N
1 2 1 1
direct
0.000 0.000 0.000
0.000 0.500 0.000
0.500 0.000 0.000
0.500 0.500 0.500
0.000 0.000 0.500
```



SbRhWN2: relaxed, GGA-PBE.

Values from the calculation:
Its energy relative to the elements, uncorrected is 63.59 kJ per mole of atoms. Its crystal system is tetragonal.

Structure (POSCAR):
```
SbRhWN2
1.0
3.876 0.000 0.000
0.000 5.815 0.000
0.000 0.000 3.876
Sb Rh W N
1 1 1 2
direct
0.000 0.500 0.000
0.500 0.500 0.500
0.000 0.000 0.000
0.000 0.000 0.500
0.500 0.000 0.000
```



no.,ρ (g/cm³)
1,9.83
2,6.14
3,6.69
4,6.75
5,6.13
6,6.05
7,7.24
8,8.07
9,6.22
10,7.09
11,6.59
12,8.30